A relaxed structure of Ce2FeF11, computed with PBE+U.

Structure (extended XYZ):
```
28
Lattice="-4.3647 -4.8063 -5.5737 3.4632 -7.1015 -3.1564 -4.7577 -6.4926 2.7563" Properties=species:S:1:pos:R:3 pbc="T T T"
Ce 1.2965 -7.6279 -2.7647
Ce -1.8319 -9.9610 -4.8712
F -2.0812 -11.1416 -6.7285
Fe -4.2445 -13.8003 -4.4804
F -5.3227 -12.3540 -3.9016
F -0.4947 -8.6943 -3.5131
Ce -3.8274 -8.4395 -1.1026
F -4.2599 -15.9549 -6.0375
F -2.5139 -14.5284 -4.2262
F -1.7879 -5.1724 0.2737
F -3.0905 -6.6317 -1.8565
F -5.2698 -15.0908 -3.5461
F -3.8714 -13.2281 -6.2475
F -2.0166 -5.0763 -4.0387
F -3.5781 -7.2589 0.7547
F -3.1454 -3.8721 -1.7476
F -0.3895 -3.3096 -2.4277
F -1.3994 -2.4455 0.0637
F -2.1417 -9.3472 -0.2578
Fe -1.4148 -4.6001 -1.4935
Ce -6.9558 -10.7726 -3.2091
F -5.1646 -9.7062 -2.4607
F -2.8296 -9.2002 -2.9869
F -0.3365 -6.0464 -2.0722
F 0.0000 0.0000 0.0000
F -2.5688 -11.7687 -4.1173
F -3.5175 -9.0532 -5.7160
F -3.6427 -13.3241 -1.9351
```

Calculated values
Size of the total moment   10.31 μB per cell
Calculated total energy   -5.99 eV/atom
Symmetry   No. 72